No. 1
Below is a relaxed CeZr2As3 crystal, with properties calculated at the GGA-PBE level.

Unit cell a=3.981 b=5.652 c=11.868 alpha=90.00 beta=90.00 gamma=90.00
Space group Immm (No. 71)
Asymmetric unit:
Ce: 0.000 0.000 0.000 [2 per cell]
Zr: 0.000 0.000 0.338 [4 per cell]
As: 0.000 0.500 0.000 [2 per cell]
As: 0.000 0.500 0.324 [4 per cell]

Results
For the formation energy from the elements, the calculation gives -1204 meV per atom.



No. 2
Below is a relaxed Be3Nb2Pt crystal, with properties calculated at the GGA-PBE level.

Unit cell a=5.604 b=8.092 c=14.117 alpha=90.00 beta=90.00 gamma=90.00
Space group Fmmm (No. 69)
Asymmetric unit:
Be: 0.000 0.000 0.162 [8 per cell]
Be: 0.000 0.244 0.080 [16 per cell]
Nb: 0.247 0.000 0.000 [8 per cell]
Nb: 0.250 0.250 0.250 [8 per cell]
Pt: 0.000 0.000 0.335 [8 per cell]

Results
For the formation energy from the elements, the calculation gives -228 meV per atom.



No. 3
Below is a relaxed BeTcRh3 crystal, with properties calculated at the GGA-PBE level.

Unit cell a=4.634 b=4.634 c=4.634 alpha=90.00 beta=90.00 gamma=90.00
Space group Pm-3m (No. 221)
Asymmetric unit:
Be: 0.000 0.000 0.000 [1 per cell]
Tc: 0.500 0.500 0.500 [1 per cell]
Rh: 0.000 0.500 0.500 [3 per cell]

Results
For the formation energy from the elements, the calculation gives 1481 meV per atom. As for the energy above the most stable polymorph in this dataset: 5.78 eV per formula unit.



No. 4
Below is a relaxed PuNiPt4 crystal, with properties calculated at the GGA-PBE level.

Unit cell a=7.503 b=4.034 c=6.751 alpha=90.00 beta=90.00 gamma=90.00
Space group Pmma (No. 51)
Asymmetric unit:
Pu: 0.250 0.000 0.126 [2 per cell]
Ni: 0.250 0.000 0.740 [2 per cell]
Pt: 0.000 0.000 0.500 [2 per cell]
Pt: 0.044 0.500 0.808 [4 per cell]
Pt: 0.250 0.500 0.461 [2 per cell]

Results
For the formation energy from the elements, the calculation gives -407 meV per atom. As for the energy above the most stable polymorph in this dataset: 0.00 eV per formula unit.



> The highest formation energy from the elements belongs to which entry?

BeTcRh3